[1]
DFT (GGA-PBE) results for a relaxed structure of LuPuTa.

Cell lengths 6.8836, 6.8836, 6.8836 Å; angles 90.00, 90.00, 90.00 degrees
Space group F-43m (No. 216)
Symmetry-distinct sites (fractional):
Lu  0.0000  0.0000  0.0000
Pu  0.2500  0.2500  0.7500
Ta  0.2500  0.2500  0.2500

Calculated values
- Raw total energy: -107.54 eV for the cell shown
- Calculated formation energy: 3.6 eV/f.u.

[2]
DFT (GGA-PBE) results for a relaxed structure of LuPuTe.

Cell lengths 7.1635, 7.1635, 7.1635 Å; angles 90.00, 90.00, 90.00 degrees
Space group F-43m (No. 216)
Symmetry-distinct sites (fractional):
Lu  0.0000  0.0000  0.0000
Pu  0.0000  0.0000  0.5000
Te  0.2500  0.2500  0.2500

Calculated values
- Raw total energy: -90.94 eV for the cell shown
- Polymorph energy (0 for the lowest one): 0.00 eV/f.u.

[3]
DFT (GGA-PBE) results for a relaxed structure of LuPuTl.

Cell lengths 7.2024, 7.2024, 7.2024 Å; angles 90.00, 90.00, 90.00 degrees
Space group F-43m (No. 216)
Symmetry-distinct sites (fractional):
Lu  0.0000  0.0000  0.0000
Pu  0.0000  0.0000  0.5000
Tl  0.2500  0.2500  0.2500

Calculated values
- Raw total energy: -81.44 eV for the cell shown
- Polymorph energy (0 for the lowest one): 0.00 eV/f.u.